[1]
Computed, not measured: an optimized crystal structure of BaMn2Cu at the GGA-PBEsol level of DFT.

Unit cell a=4.5501 b=5.6649 c=7.2157 alpha=90.00 beta=90.00 gamma=90.00
Space group Imm2 (No. 44)
Inequivalent atoms, fractional coordinates:
Ba (0.0000, 0.0000, 0.0000)
Mn (0.0000, 0.0000, 0.4743)
Mn (0.0000, 0.5000, 0.1853)
Cu (0.0000, 0.5000, 0.8308)

=====

[2]
Computed, not measured: an optimized crystal structure of BaMnCu2 at the GGA-PBEsol level of DFT.

Unit cell a=4.9234 b=4.9234 c=6.9407 alpha=90.00 beta=90.00 gamma=90.00
Space group I4/mmm (No. 139)
Inequivalent atoms, fractional coordinates:
Ba (0.0000, 0.0000, 0.0000)
Mn (0.0000, 0.0000, 0.5000)
Cu (0.0000, 0.5000, 0.2500)

=====

[3]
Computed, not measured: an optimized crystal structure of BaMnCu at the GGA-PBEsol level of DFT.

Unit cell a=6.8175 b=6.8175 c=6.8175 alpha=90.00 beta=90.00 gamma=90.00
Space group F-43m (No. 216)
Inequivalent atoms, fractional coordinates:
Ba (0.0000, 0.0000, 0.0000)
Mn (0.2500, 0.2500, 0.7500)
Cu (0.0000, 0.0000, 0.5000)

=====

[4]
Computed, not measured: an optimized crystal structure of BaMnCu2 at the GGA-PBEsol level of DFT.

Unit cell a=6.8412 b=6.8412 c=6.8412 alpha=90.00 beta=90.00 gamma=90.00
Space group F-43m (No. 216)
Inequivalent atoms, fractional coordinates:
Ba (0.0000, 0.0000, 0.0000)
Mn (0.2500, 0.2500, 0.7500)
Cu (0.0000, 0.0000, 0.5000)
Cu (0.2500, 0.2500, 0.2500)

=====

[5]
Computed, not measured: an optimized crystal structure of BaMn3Cu at the GGA-PBEsol level of DFT.

Unit cell a=4.9338 b=4.9338 c=4.9338 alpha=90.00 beta=90.00 gamma=90.00
Space group Pm-3m (No. 221)
Inequivalent atoms, fractional coordinates:
Ba (0.0000, 0.0000, 0.0000)
Mn (0.0000, 0.0000, 0.5000)
Cu (0.5000, 0.5000, 0.5000)

=====

[6]
Computed, not measured: an optimized crystal structure of BaMnCu2 at the GGA-PBEsol level of DFT.

Unit cell a=3.2519 b=3.2519 c=7.1498 alpha=90.00 beta=90.00 gamma=90.00
Space group P4/mmm (No. 123)
Inequivalent atoms, fractional coordinates:
Ba (0.0000, 0.0000, 0.0000)
Mn (0.0000, 0.0000, 0.5000)
Cu (0.5000, 0.5000, 0.3317)

=====

We obtain formation energy values of 88.8 63.4 89.2 74.7 241.0 37.0 kJ/mol of atoms for the records listed above, in that order.
We obtain energy values of -0.20511 -0.16490 -0.16502 -0.16060 -0.17108 -0.17497 Ha/atom for the records listed above, in that order.
We obtain M_tot values of 8.1 4.5 3.7 4.1 10.5 3.9 μB per formula unit for the records listed above, in that order.